# 1
Here is LiMn2Ir after structural relaxation from Alexandria via LeMat-Bulk. Energies are from PBE.

a = 2.9305 Å, b = 2.9305 Å, c = 5.3381 Å
α = 90.00°, β = 90.00°, γ = 90.00°
Fractional coordinates of all 4 atoms:
Li 0.0000 0.0000 0.0000
Mn 0.5000 0.5000 0.2020
Mn 0.5000 0.5000 0.7980
Ir 0.0000 0.0000 0.5000

Summary:
The energy of formation from the pure elements is 0.347 eV per atom. Its space group is P4/mmm (123).

---

# 2
Here is Li2MnIr after structural relaxation from Alexandria via LeMat-Bulk. Energies are from PBE.

a = 2.6224 Å, b = 2.6224 Å, c = 8.5358 Å
α = 90.00°, β = 90.00°, γ = 90.00°
Fractional coordinates of all 4 atoms:
Li 0.0000 0.0000 0.2298
Li 0.0000 0.0000 0.7702
Mn 0.5000 0.5000 0.5000
Ir 0.5000 0.5000 0.0000

Summary:
The energy of formation from the pure elements is 0.226 eV per atom. Its space group is P4/mmm (123).

---

# 3
Here is LiMn2Ir after structural relaxation from Alexandria via LeMat-Bulk. Energies are from PBE.

a = 4.1205 Å, b = 4.1205 Å, c = 4.1205 Å
α = 60.00°, β = 60.00°, γ = 60.00°
Fractional coordinates of all 4 atoms:
Li 0.0000 0.0000 0.0000
Mn 0.2500 0.2500 0.2500
Mn 0.5000 0.5000 0.5000
Ir 0.7500 0.7500 0.7500

Summary:
The energy of formation from the pure elements is 0.078 eV per atom. Its space group is F-43m (216).

---

# 4
Here is Li2MnIr after structural relaxation from Alexandria via LeMat-Bulk. Energies are from PBE.

a = 2.7237 Å, b = 2.7237 Å, c = 9.1465 Å
α = 90.00°, β = 90.00°, γ = 115.40°
Fractional coordinates of all 4 atoms:
Li 0.0000 0.0000 0.0000
Li 0.5000 0.5000 0.2887
Mn 0.5000 0.5000 0.7489
Ir 0.0000 0.0000 0.5223

Summary:
The energy of formation from the pure elements is 0.089 eV per atom. Its space group is Cmm2 (35).

---

# 5
Here is LiMnIr2 after structural relaxation from Alexandria via LeMat-Bulk. Energies are from PBE.

a = 2.6453 Å, b = 4.0864 Å, c = 5.0307 Å
α = 90.00°, β = 105.23°, γ = 90.00°
Fractional coordinates of all 4 atoms:
Li 0.0000 0.0000 0.0000
Mn 0.1344 0.5000 0.2581
Ir 0.3931 0.5000 0.7812
Ir 0.7479 0.0000 0.4896

Summary:
The energy of formation from the pure elements is -0.032 eV per atom. Its space group is Pm (6).

---

# 6
Here is Li2MnIr after structural relaxation from Alexandria via LeMat-Bulk. Energies are from PBE.

a = 2.7961 Å, b = 2.7961 Å, c = 7.2305 Å
α = 90.00°, β = 90.00°, γ = 90.00°
Fractional coordinates of all 4 atoms:
Li 0.0000 0.0000 0.0000
Li 0.5000 0.5000 0.2893
Mn 0.0000 0.0000 0.5444
Ir 0.5000 0.5000 0.7505

Summary:
The energy of formation from the pure elements is 0.066 eV per atom. Its space group is P4mm (99).

---

Number 1: raw total energy -27.7 eV/cell. Number 2: raw total energy -21.0 eV/cell. Number 3: raw total energy -28.8 eV/cell. Number 4: raw total energy -21.5 eV/cell. Number 5: raw total energy -28.9 eV/cell. Number 6: raw total energy -21.6 eV/cell.